# 1
The following is a DFT calculation (PBE) of a relaxed structure of Tb8As3PSe3.

Geometry as CIF:
```
data_Tb8As3PSe3
_symmetry_space_group_name_H-M 'R -3 m'
_symmetry_Int_Tables_number 166
_symmetry_space_group_name_Hall '-R 3 2"'
_cell_length_a 8.1790
_cell_length_b 8.1790
_cell_length_c 20.0676
_cell_angle_alpha 90.00
_cell_angle_beta 90.00
_cell_angle_gamma 120.00
loop_
_atom_site_label
_atom_site_fract_x
_atom_site_fract_y
_atom_site_fract_z
_atom_site_occupancy
Tb1 0.0000 0.0000 0.2459 1
Tb2 0.0133 0.5067 0.7493 1
As1 0.0000 0.5000 0.5000 1
P1 0.0000 0.0000 0.0000 1
Se1 0.0000 0.5000 0.0000 1
```

E_form (uncorrected), eV/atom: -1.576



# 2
The following is a DFT calculation (PBE) of a relaxed structure of Pm6DyTl5.

Geometry as CIF:
```
data_Pm6DyTl5
_symmetry_space_group_name_H-M 'I m m m'
_symmetry_Int_Tables_number 71
_symmetry_space_group_name_Hall '-I 2 2'
_cell_length_a 5.083
_cell_length_b 9.065
_cell_length_c 15.445
_cell_angle_alpha 90.00
_cell_angle_beta 90.00
_cell_angle_gamma 90.00
loop_
_atom_site_label
_atom_site_fract_x
_atom_site_fract_y
_atom_site_fract_z
_atom_site_occupancy
Pm1 0.000 0.232 0.000 1
Pm2 0.000 0.261 0.329 1
Dy1 0.000 0.000 0.500 1
Tl1 0.000 0.000 0.174 1
Tl2 0.000 0.500 0.149 1
Tl3 0.000 0.500 0.500 1
```



The evaluated E_tot for the records listed, in turn: -271.49, -97.07 eV/cell.
The evaluated V for the records listed, in turn: 25.83, 29.65 A^3/atom.